VASP calculation (PBE) on a relaxed PrDy3Se6 crystal.

Unit cell a=11.6072 b=4.1435 c=11.9049 alpha=90.00 beta=109.07 gamma=90.00
Fractional positions:
Dy (0.6592, 0.2500, 0.0859)
Dy (0.9388, 0.2500, 0.8333)
Dy (0.8193, 0.7500, 0.4995)
Dy (0.0612, 0.7500, 0.1667)
Dy (0.1807, 0.2500, 0.5005)
Dy (0.3408, 0.7500, 0.9141)
Se (0.3032, 0.2500, 0.7499)
Se (0.6176, 0.2500, 0.4653)
Se (0.9804, 0.2500, 0.6139)
Se (0.5837, 0.7500, 0.9055)
Se (0.0196, 0.7500, 0.3861)
Se (0.8936, 0.2500, 0.0590)
Se (0.2382, 0.2500, 0.2733)
Se (0.7618, 0.7500, 0.7267)
Se (0.4163, 0.2500, 0.0945)
Se (0.6968, 0.7500, 0.2501)
Se (0.1064, 0.7500, 0.9410)
Se (0.3824, 0.7500, 0.5347)
Pr (0.5476, 0.2500, 0.6954)
Pr (0.4524, 0.7500, 0.3046)

Results
volume	27.056	Å³/atom
mass density	6.8	Mg/m³
raw total energy	-5.84	eV per atom
space group	P2_1/m (11)
size of the total moment	0.00	μB per formula unit